Entry 1:
Crystalline Li2DyEr2In2 at its relaxed geometry. Source: Alexandria via LeMat-Bulk, functional GGA-PBE.

Cell and atoms, written as CIF:
```
data_Li2DyEr2In2
_symmetry_space_group_name_H-M 'P 1'
_symmetry_Int_Tables_number 1
_symmetry_space_group_name_Hall 'P 1'
_cell_length_a 9.1784
_cell_length_b 9.1784
_cell_length_c 9.1784
_cell_angle_alpha 30.56
_cell_angle_beta 30.56
_cell_angle_gamma 30.56
loop_
_atom_site_label
_atom_site_type_symbol
_atom_site_fract_x
_atom_site_fract_y
_atom_site_fract_z
Li1 Li 0.1026 0.1026 0.1026
Li2 Li 0.8974 0.8974 0.8974
Dy1 Dy 0.5000 0.5000 0.5000
Er1 Er 0.3721 0.3721 0.3721
Er2 Er 0.6279 0.6279 0.6279
In1 In 0.2386 0.2386 0.2386
In2 In 0.7614 0.7614 0.7614
```

N(E_F)   0.743 states/eV/atom
SG   R-3m, No. 166
DFT formation energy   -0.2166 eV per atom

***

Entry 2:
Crystalline Tm3CdFe at its relaxed geometry. Source: Alexandria via LeMat-Bulk, functional GGA-PBE.

Cell and atoms, written as CIF:
```
data_Tm3CdFe
_symmetry_space_group_name_H-M 'P 1'
_symmetry_Int_Tables_number 1
_symmetry_space_group_name_Hall 'P 1'
_cell_length_a 5.8070
_cell_length_b 5.8070
_cell_length_c 9.0903
_cell_angle_alpha 113.17
_cell_angle_beta 113.17
_cell_angle_gamma 64.30
loop_
_atom_site_label
_atom_site_type_symbol
_atom_site_fract_x
_atom_site_fract_y
_atom_site_fract_z
Tm1 Tm 0.0281 0.0281 0.2254
Tm2 Tm 0.3010 0.3010 0.6914
Tm3 Tm 0.3069 0.3069 0.1193
Tm4 Tm 0.6931 0.6931 0.8807
Tm5 Tm 0.6990 0.6990 0.3086
Tm6 Tm 0.9719 0.9719 0.7746
Cd1 Cd 0.2780 0.7220 0.5000
Cd2 Cd 0.7220 0.2780 0.5000
Fe1 Fe 0.3125 0.6875 0.0000
Fe2 Fe 0.6875 0.3125 0.0000
```

N(E_F)   0.854 states/eV/atom
SG   C2/m, No. 12
DFT formation energy   -0.1164 eV per atom
Energy above the lowest structure with this stoichiometry   0 meV per atom